Model P:
Computed, not measured: a relaxed structure of SrAsRhSe2 at the PBE level of DFT.

Results
- DOS at the Fermi energy: 0.518 states/eV per atom
- ρ: 5.598 Mg/m³
- V: 126 Å³/f.u.

Geometry as CIF:
```
data_SrAsRhSe2
_chemical_formula_sum 'Sr1 As1 Rh1 Se2'
_cell_length_a 5.261
_cell_length_b 5.261
_cell_length_c 4.538
_cell_angle_alpha 90.00
_cell_angle_beta 90.00
_cell_angle_gamma 90.00
_space_group_name_H-M_alt 'P 4/m m m'
_space_group_IT_number 123
_space_group_name_Hall '-P 4 2'
loop_
_atom_site_label
_atom_site_fract_x
_atom_site_fract_y
_atom_site_fract_z
Sr1 0.000 0.000 0.000
As1 0.500 0.500 0.000
Rh1 0.500 0.500 0.500
Se1 0.000 0.500 0.500
```

=====

Model Q:
Computed, not measured: a relaxed structure of SrAsRhSe2 at the PBE level of DFT.

Results
- DOS at the Fermi energy: 1.847 states/eV per atom
- ρ: 3.950 Mg/m³
- V: 178 Å³/f.u.

Geometry as CIF:
```
data_SrAsRhSe2
_chemical_formula_sum 'Sr1 As1 Rh1 Se2'
_cell_length_a 5.628
_cell_length_b 5.628
_cell_length_c 5.620
_cell_angle_alpha 90.00
_cell_angle_beta 90.00
_cell_angle_gamma 90.00
_space_group_name_H-M_alt 'P 4/m m m'
_space_group_IT_number 123
_space_group_name_Hall '-P 4 2'
loop_
_atom_site_label
_atom_site_fract_x
_atom_site_fract_y
_atom_site_fract_z
Sr1 0.000 0.000 0.000
As1 0.000 0.000 0.500
Rh1 0.500 0.500 0.500
Se1 0.000 0.500 0.000
```

=====

Quick one: least stable of them? model Q

=====

Model P:
Computed, not measured: a relaxed structure of TaAsRhSe2 at the PBE level of DFT.

Results
- DOS at the Fermi energy: 1.100 states/eV per atom
- ρ: 7.973 Mg/m³
- V: 108 Å³/f.u.

Geometry as CIF:
```
data_TaAsRhSe2
_chemical_formula_sum 'Ta1 As1 Rh1 Se2'
_cell_length_a 4.806
_cell_length_b 4.806
_cell_length_c 4.658
_cell_angle_alpha 90.00
_cell_angle_beta 90.00
_cell_angle_gamma 90.00
_space_group_name_H-M_alt 'P 4/m m m'
_space_group_IT_number 123
_space_group_name_Hall '-P 4 2'
loop_
_atom_site_label
_atom_site_fract_x
_atom_site_fract_y
_atom_site_fract_z
Ta1 0.000 0.000 0.000
As1 0.500 0.500 0.000
Rh1 0.500 0.500 0.500
Se1 0.000 0.500 0.500
```

=====

Model Q:
Computed, not measured: a relaxed structure of TaAsRhSe2 at the PBE level of DFT.

Results
- DOS at the Fermi energy: 1.385 states/eV per atom
- ρ: 7.002 Mg/m³
- V: 123 Å³/f.u.

Geometry as CIF:
```
data_TaAsRhSe2
_chemical_formula_sum 'Ta1 As1 Rh1 Se2'
_cell_length_a 4.944
_cell_length_b 4.944
_cell_length_c 5.014
_cell_angle_alpha 90.00
_cell_angle_beta 90.00
_cell_angle_gamma 90.00
_space_group_name_H-M_alt 'P 4/m m m'
_space_group_IT_number 123
_space_group_name_Hall '-P 4 2'
loop_
_atom_site_label
_atom_site_fract_x
_atom_site_fract_y
_atom_site_fract_z
Ta1 0.000 0.000 0.000
As1 0.000 0.000 0.500
Rh1 0.500 0.500 0.500
Se1 0.000 0.500 0.000
```

=====

Quick one: least stable of them? model P

=====

Model P:
Computed, not measured: a relaxed structure of TaAs2RhSe at the PBE level of DFT.

Results
- DOS at the Fermi energy: 1.116 states/eV per atom
- ρ: 7.060 Mg/m³
- V: 121 Å³/f.u.

Geometry as CIF:
```
data_TaAs2RhSe
_chemical_formula_sum 'Ta1 As2 Rh1 Se1'
_cell_length_a 4.961
_cell_length_b 4.961
_cell_length_c 4.901
_cell_angle_alpha 90.00
_cell_angle_beta 90.00
_cell_angle_gamma 90.00
_space_group_name_H-M_alt 'P 4/m m m'
_space_group_IT_number 123
_space_group_name_Hall '-P 4 2'
loop_
_atom_site_label
_atom_site_fract_x
_atom_site_fract_y
_atom_site_fract_z
Ta1 0.000 0.000 0.000
As1 0.000 0.500 0.000
Rh1 0.500 0.500 0.500
Se1 0.000 0.000 0.500
```

=====

Model Q:
Computed, not measured: a relaxed structure of TaAs2RhSe at the PBE level of DFT.

Results
- DOS at the Fermi energy: 1.286 states/eV per atom
- ρ: 7.982 Mg/m³
- V: 107 Å³/f.u.

Geometry as CIF:
```
data_TaAs2RhSe
_chemical_formula_sum 'Ta1 As2 Rh1 Se1'
_cell_length_a 4.674
_cell_length_b 4.674
_cell_length_c 4.882
_cell_angle_alpha 90.00
_cell_angle_beta 90.00
_cell_angle_gamma 90.00
_space_group_name_H-M_alt 'P 4/m m m'
_space_group_IT_number 123
_space_group_name_Hall '-P 4 2'
loop_
_atom_site_label
_atom_site_fract_x
_atom_site_fract_y
_atom_site_fract_z
Ta1 0.000 0.000 0.000
As1 0.000 0.500 0.500
Rh1 0.500 0.500 0.500
Se1 0.500 0.500 0.000
```

=====

Quick one: least stable of them? model Q

=====

Model P:
Computed, not measured: a relaxed structure of TlAsRhSe2 at the PBE level of DFT.

Results
- DOS at the Fermi energy: 1.233 states/eV per atom
- ρ: 7.174 Mg/m³
- V: 125 Å³/f.u.

Geometry as CIF:
```
data_TlAsRhSe2
_chemical_formula_sum 'Tl1 As1 Rh1 Se2'
_cell_length_a 5.220
_cell_length_b 5.220
_cell_length_c 4.588
_cell_angle_alpha 90.00
_cell_angle_beta 90.00
_cell_angle_gamma 90.00
_space_group_name_H-M_alt 'P 4/m m m'
_space_group_IT_number 123
_space_group_name_Hall '-P 4 2'
loop_
_atom_site_label
_atom_site_fract_x
_atom_site_fract_y
_atom_site_fract_z
Tl1 0.000 0.000 0.000
As1 0.500 0.500 0.000
Rh1 0.500 0.500 0.500
Se1 0.000 0.500 0.500
```

=====

Model Q:
Computed, not measured: a relaxed structure of TlAsRhSe2 at the PBE level of DFT.

Results
- DOS at the Fermi energy: 1.593 states/eV per atom
- ρ: 6.038 Mg/m³
- V: 149 Å³/f.u.

Geometry as CIF:
```
data_TlAsRhSe2
_chemical_formula_sum 'Tl1 As1 Rh1 Se2'
_cell_length_a 5.322
_cell_length_b 5.322
_cell_length_c 5.245
_cell_angle_alpha 90.00
_cell_angle_beta 90.00
_cell_angle_gamma 90.00
_space_group_name_H-M_alt 'P 4/m m m'
_space_group_IT_number 123
_space_group_name_Hall '-P 4 2'
loop_
_atom_site_label
_atom_site_fract_x
_atom_site_fract_y
_atom_site_fract_z
Tl1 0.000 0.000 0.000
As1 0.000 0.000 0.500
Rh1 0.500 0.500 0.500
Se1 0.000 0.500 0.000
```

=====

Quick one: least stable of them? model Q

=====

Model P:
Computed, not measured: a relaxed structure of VAs2RhSe at the PBE level of DFT.

Results
- DOS at the Fermi energy: 0.926 states/eV per atom
- ρ: 5.609 Mg/m³
- V: 113 Å³/f.u.

Geometry as CIF:
```
data_VAs2RhSe
_chemical_formula_sum 'V1 As2 Rh1 Se1'
_cell_length_a 4.652
_cell_length_b 4.652
_cell_length_c 5.235
_cell_angle_alpha 90.00
_cell_angle_beta 90.00
_cell_angle_gamma 90.00
_space_group_name_H-M_alt 'P 4/m m m'
_space_group_IT_number 123
_space_group_name_Hall '-P 4 2'
loop_
_atom_site_label
_atom_site_fract_x
_atom_site_fract_y
_atom_site_fract_z
V1 0.000 0.000 0.000
As1 0.000 0.500 0.500
Rh1 0.500 0.500 0.500
Se1 0.500 0.500 0.000
```

=====

Model Q:
Computed, not measured: a relaxed structure of VAs2RhSe at the PBE level of DFT.

Results
- DOS at the Fermi energy: 0.777 states/eV per atom
- ρ: 6.239 Mg/m³
- V: 102 Å³/f.u.

Geometry as CIF:
```
data_VAs2RhSe
_chemical_formula_sum 'V1 As2 Rh1 Se1'
_cell_length_a 4.673
_cell_length_b 4.673
_cell_length_c 4.663
_cell_angle_alpha 90.00
_cell_angle_beta 90.00
_cell_angle_gamma 90.00
_space_group_name_H-M_alt 'P 4/m m m'
_space_group_IT_number 123
_space_group_name_Hall '-P 4 2'
loop_
_atom_site_label
_atom_site_fract_x
_atom_site_fract_y
_atom_site_fract_z
V1 0.000 0.000 0.000
As1 0.000 0.500 0.000
Rh1 0.500 0.500 0.500
Se1 0.000 0.000 0.500
```

=====

Quick one: least stable of them? model P